Material: Rb3H5Au
Method: DFT, PBE
State: optimized geometry

Properties
VASP energy in eV per atom: -2.60

Lattice parameters (Å, degrees): 8.302 8.302 8.302 123.82 123.82 83.51
Fractional coordinates of all 18 atoms:
Rb  0.183  0.683  0.867
Rb  0.250  0.250  0.000
Rb  0.317  0.183  0.500
Rb  0.683  0.817  0.500
Rb  0.750  0.750  0.000
Rb  0.817  0.317  0.133
H  0.000  0.000  0.000
H  0.039  0.766  0.500
H  0.234  0.734  0.274
H  0.266  0.539  0.500
H  0.461  0.961  0.726
H  0.500  0.500  0.000
H  0.539  0.039  0.274
H  0.734  0.461  0.500
H  0.766  0.266  0.726
H  0.961  0.234  0.500
Au  0.250  0.750  0.500
Au  0.750  0.250  0.500

---

Material: La2DyAl12Co3
Method: DFT, PBE
State: optimized geometry

Properties
Formation energy in eV per formula unit: -0.3

Lattice parameters (Å, degrees): 7.980 7.980 7.980 63.94 63.94 63.94
Fractional coordinates of all 18 atoms:
La  0.083  0.083  0.083
La  0.917  0.917  0.917
Dy  0.500  0.500  0.500
Al  0.028  0.661  0.661
Al  0.225  0.225  0.593
Al  0.225  0.593  0.225
Al  0.339  0.339  0.972
Al  0.339  0.972  0.339
Al  0.407  0.775  0.775
Al  0.593  0.225  0.225
Al  0.661  0.028  0.661
Al  0.661  0.661  0.028
Al  0.775  0.407  0.775
Al  0.775  0.775  0.407
Al  0.972  0.339  0.339
Co  0.000  0.500  0.500
Co  0.500  0.000  0.500
Co  0.500  0.500  0.000

---

Material: Ta2AgP
Method: DFT, PBE
State: optimized geometry

Properties
Formation energy in eV per formula unit: 0.6

Lattice parameters (Å, degrees): 3.075 4.596 4.613 90.00 90.00 90.00
Fractional coordinates of all 4 atoms:
Ta  0.000  0.000  0.000
Ta  0.000  0.500  0.500
Ag  0.500  0.000  0.500
P  0.500  0.500  0.000

---

Material: KTaAs2
Method: DFT, PBE
State: optimized geometry

Properties
Formation energy in eV per formula unit: -0.4
ΔE to the lowest computed polymorph in eV per formula unit: 1.12

Lattice parameters (Å, degrees): 3.573 3.573 8.561 90.00 90.00 90.00
Fractional coordinates of all 4 atoms:
K  0.000  0.000  0.000
Ta  0.500  0.500  0.480
As  0.000  0.000  0.383
As  0.500  0.500  0.755

---

Material: RbSiB
Method: DFT, PBE
State: optimized geometry

Properties
Uncorrected formation energy in eV per atom: 0.242

Lattice parameters (Å, degrees): 3.534 6.451 6.891 75.75 78.48 87.69
Fractional coordinates of all 6 atoms:
Rb  0.098  0.311  0.305
Rb  0.902  0.689  0.695
Si  0.416  0.177  0.801
Si  0.584  0.823  0.199
B  0.140  0.913  0.057
B  0.860  0.087  0.943

---

Material: K2AlSbAu6
Method: DFT, PBE
State: optimized geometry

Properties
Uncorrected formation energy in eV per atom: -0.190

Lattice parameters (Å, degrees): 7.350 7.350 7.350 119.94 119.94 90.11
Fractional coordinates of all 10 atoms:
K  0.250  0.750  0.500
K  0.750  0.250  0.500
Al  0.000  0.000  0.000
Sb  0.500  0.500  0.000
Au  0.238  0.238  0.477
Au  0.238  0.762  0.000
Au  0.239  0.239  0.000
Au  0.761  0.761  0.000
Au  0.762  0.238  0.000
Au  0.762  0.762  0.523

---

Material: FeWAu
Method: DFT, PBE
State: optimized geometry

Properties
Formation energy in eV per formula unit: 2.9
ΔE to the lowest computed polymorph in eV per formula unit: 2.00

Lattice parameters (Å, degrees): 4.248 4.248 4.248 60.00 60.00 60.00
Fractional coordinates of all 3 atoms:
Fe  0.000  0.000  0.000
W  0.750  0.750  0.750
Au  0.500  0.500  0.500

---

Material: BaCaPr4
Method: DFT, PBE
State: optimized geometry

Properties
Formation energy in eV per formula unit: 1.2

Lattice parameters (Å, degrees): 7.101 7.101 7.101 60.00 60.00 60.00
Fractional coordinates of all 6 atoms:
Ba  0.000  0.000  0.000
Ca  0.750  0.750  0.750
Pr  0.377  0.377  0.377
Pr  0.377  0.377  0.868
Pr  0.377  0.868  0.377
Pr  0.868  0.377  0.377

---

Material: Ta2MoCl
Method: DFT, PBE
State: optimized geometry

Properties
ΔE to the lowest computed polymorph in eV per formula unit: 0.76
Uncorrected formation energy in eV per atom: 0.268

Lattice parameters (Å, degrees): 9.506 9.506 9.506 17.59 17.59 17.59
Fractional coordinates of all 4 atoms:
Ta  0.245  0.245  0.245
Ta  0.755  0.755  0.755
Mo  0.000  0.000  0.000
Cl  0.500  0.500  0.500

---

Material: Ta2BeOs
Method: DFT, PBE
State: optimized geometry

Properties
Formation energy in eV per formula unit: -0.3

Lattice parameters (Å, degrees): 4.608 4.608 2.995 90.00 90.00 105.97
Fractional coordinates of all 4 atoms:
Ta  0.000  0.500  0.000
Ta  0.500  0.000  0.000
Be  0.000  0.000  0.500
Os  0.500  0.500  0.500

---

Material: MgInHg2Pb2
Method: DFT, PBE
State: optimized geometry

Properties
Formation energy in eV per formula unit: -0.2

Lattice parameters (Å, degrees): 4.739 9.426 7.312 90.00 90.00 90.00
Fractional coordinates of all 12 atoms:
Mg  0.000  0.196  0.000
Mg  0.000  0.804  0.500
In  0.500  0.044  0.344
In  0.500  0.956  0.844
Hg  0.000  0.098  0.610
Hg  0.000  0.902  0.110
Hg  0.500  0.327  0.151
Hg  0.500  0.673  0.651
Pb  0.000  0.455  0.410
Pb  0.000  0.545  0.910
Pb  0.500  0.324  0.697
Pb  0.500  0.676  0.197

---

Material: YMg2Mo
Method: DFT, PBE
State: optimized geometry

Properties
Formation energy in eV per formula unit: 1.3
ΔE to the lowest computed polymorph in eV per formula unit: 0.15

Lattice parameters (Å, degrees): 5.594 5.594 5.440 108.94 108.94 32.80
Fractional coordinates of all 4 atoms:
Y  0.000  0.000  0.000
Mg  0.540  0.540  0.530
Mg  0.780  0.780  0.375
Mo  0.254  0.254  0.871

---

Material: RbTe2I2
Method: DFT, PBE
State: optimized geometry

Properties
ΔE to the lowest computed polymorph in eV per formula unit: 0.23
Uncorrected formation energy in eV per atom: -0.327

Lattice parameters (Å, degrees): 9.529 9.529 4.985 90.00 90.00 90.00
Fractional coordinates of all 10 atoms:
Rb  0.000  0.000  0.000
Rb  0.500  0.500  0.000
Te  0.098  0.402  0.000
Te  0.402  0.902  0.000
Te  0.598  0.098  0.000
Te  0.902  0.598  0.000
I  0.233  0.733  0.500
I  0.267  0.233  0.500
I  0.733  0.767  0.500
I  0.767  0.267  0.500

---

Material: Np3Tc
Method: DFT, PBE
State: optimized geometry

Properties
Formation energy in eV per formula unit: 1.0
ΔE to the lowest computed polymorph in eV per formula unit: 0.08

Lattice parameters (Å, degrees): 3.393 4.604 4.850 90.00 90.00 90.00
Fractional coordinates of all 4 atoms:
Np  0.000  0.000  0.000
Np  0.000  0.500  0.469
Np  0.500  0.500  0.100
Tc  0.500  0.000  0.545

---

Material: Nd3PuTl3S8
Method: DFT, PBE
State: optimized geometry

Properties
Uncorrected formation energy in eV per atom: -1.433

Lattice parameters (Å, degrees): 8.924 8.924 8.924 55.30 55.30 55.30
Fractional coordinates of all 15 atoms:
Nd  0.000  0.500  0.500
Nd  0.500  0.000  0.500
Nd  0.500  0.500  0.000
Pu  0.000  0.000  0.000
Tl  0.000  0.000  0.500
Tl  0.000  0.500  0.000
Tl  0.500  0.000  0.000
S  0.224  0.224  0.748
S  0.224  0.748  0.224
S  0.252  0.776  0.776
S  0.265  0.265  0.265
S  0.735  0.735  0.735
S  0.748  0.224  0.224
S  0.776  0.252  0.776
S  0.776  0.776  0.252

---

Material: ZrUInO6
Method: DFT, PBE
State: optimized geometry

Properties
Uncorrected formation energy in eV per atom: -2.687

Lattice parameters (Å, degrees): 5.505 5.505 9.425 90.00 90.00 120.00
Fractional coordinates of all 18 atoms:
Zr  0.000  0.000  0.000
Zr  0.000  0.000  0.500
U  0.333  0.667  0.250
U  0.667  0.333  0.750
In  0.333  0.667  0.750
In  0.667  0.333  0.250
O  0.006  0.328  0.127
O  0.006  0.678  0.373
O  0.322  0.328  0.373
O  0.322  0.994  0.127
O  0.328  0.006  0.627
O  0.328  0.322  0.873
O  0.672  0.678  0.127
O  0.672  0.994  0.373
O  0.678  0.006  0.873
O  0.678  0.672  0.627
O  0.994  0.322  0.627
O  0.994  0.672  0.873

---

Material: LiTa2AlH
Method: DFT, PBE
State: optimized geometry

Properties
ΔE to the lowest computed polymorph in eV per formula unit: 0.00

Lattice parameters (Å, degrees): 3.993 3.993 4.273 90.00 90.00 90.00
Fractional coordinates of all 5 atoms:
Li  0.000  0.000  0.000
Ta  0.000  0.500  0.500
Ta  0.500  0.000  0.500
Al  0.500  0.500  0.000
H  0.000  0.000  0.500

---

Material: Co2WSe
Method: DFT, PBE
State: optimized geometry

Properties
Uncorrected formation energy in eV per atom: 0.483

Lattice parameters (Å, degrees): 4.615 4.615 4.615 132.32 132.32 69.73
Fractional coordinates of all 4 atoms:
Co  0.250  0.750  0.500
Co  0.750  0.250  0.500
W  0.000  0.000  0.000
Se  0.500  0.500  0.000

---

Material: Cr2SnSb
Method: DFT, PBE
State: optimized geometry

Properties
ΔE to the lowest computed polymorph in eV per formula unit: 0.00
Uncorrected formation energy in eV per atom: 0.467

Lattice parameters (Å, degrees): 4.586 4.586 4.586 60.00 60.00 60.00
Fractional coordinates of all 4 atoms:
Cr  0.250  0.250  0.250
Cr  0.750  0.750  0.750
Sn  0.000  0.000  0.000
Sb  0.500  0.500  0.500

---

Material: KRbCuTe2
Method: DFT, PBE
State: optimized geometry

Properties
Uncorrected formation energy in eV per atom: -0.541

Lattice parameters (Å, degrees): 5.839 8.085 7.574 90.00 90.00 90.00
Fractional coordinates of all 10 atoms:
K  0.250  0.000  0.116
K  0.750  0.000  0.884
Rb  0.250  0.500  0.304
Rb  0.750  0.500  0.696
Cu  0.000  0.000  0.500
Cu  0.500  0.000  0.500
Te  0.250  0.217  0.696
Te  0.250  0.783  0.696
Te  0.750  0.217  0.304
Te  0.750  0.783  0.304

---

Material: Ni4BH
Method: DFT, PBE
State: optimized geometry

Properties
ΔE to the lowest computed polymorph in eV per formula unit: 0.66

Lattice parameters (Å, degrees): 2.554 2.554 9.262 98.00 98.00 60.00
Fractional coordinates of all 6 atoms:
Ni  0.126  0.126  0.381
Ni  0.282  0.282  0.847
Ni  0.718  0.718  0.153
Ni  0.874  0.874  0.619
B  0.000  0.000  0.000
H  0.500  0.500  0.500

---

Material: KTbPm2
Method: DFT, PBE
State: optimized geometry

Properties
Formation energy in eV per formula unit: 0.8

Lattice parameters (Å, degrees): 13.551 13.551 13.551 15.46 15.46 15.46
Fractional coordinates of all 4 atoms:
K  0.000  0.000  0.000
Tb  0.500  0.500  0.500
Pm  0.095  0.095  0.095
Pm  0.905  0.905  0.905

---

Material: Zr2Al6Ge
Method: DFT, PBE
State: optimized geometry

Properties
Formation energy in eV per formula unit: -2.9

Lattice parameters (Å, degrees): 6.972 6.972 6.524 110.77 110.77 33.11
Fractional coordinates of all 9 atoms:
Zr  0.053  0.053  0.300
Zr  0.947  0.947  0.700
Al  0.177  0.177  0.005
Al  0.274  0.274  0.649
Al  0.393  0.393  0.341
Al  0.607  0.607  0.659
Al  0.726  0.726  0.351
Al  0.823  0.823  0.995
Ge  0.500  0.500  0.000

---

Material: Ba2MnIn
Method: DFT, PBE
State: optimized geometry

Properties
Formation energy in eV per formula unit: 1.4
ΔE to the lowest computed polymorph in eV per formula unit: 1.05

Lattice parameters (Å, degrees): 10.715 10.715 10.715 22.35 22.35 22.35
Fractional coordinates of all 4 atoms:
Ba  0.244  0.244  0.244
Ba  0.756  0.756  0.756
Mn  0.500  0.500  0.500
In  0.000  0.000  0.000

---

Material: Zr2PO
Method: DFT, PBE
State: optimized geometry

Properties
ΔE to the lowest computed polymorph in eV per formula unit: 0.84
Uncorrected formation energy in eV per atom: -1.475

Lattice parameters (Å, degrees): 6.604 6.604 6.604 132.09 132.09 70.09
Fractional coordinates of all 8 atoms:
Zr  0.065  0.625  0.940
Zr  0.375  0.315  0.440
Zr  0.685  0.125  0.060
Zr  0.875  0.935  0.560
P  0.250  0.750  0.500
P  0.500  0.500  0.000
O  0.000  0.000  0.000
O  0.750  0.250  0.500